# 1
Cr2Hg3: relaxed, PBE.

abc: 11.1810 11.1810 11.1810
angles: 17.04 17.04 17.04
Atoms (fractional coordinates):
Cr (0.1022, 0.1022, 0.1022)
Cr (0.8978, 0.8978, 0.8978)
Hg (0.2955, 0.2955, 0.2955)
Hg (0.5000, 0.5000, 0.5000)
Hg (0.7045, 0.7045, 0.7045)

Calculated values
DFT total energy, eV per atom: -3.50
Spin magnetization, μB per formula unit: 7.97

---

# 2
KAgSeBr6: relaxed, PBE.

abc: 7.2720 7.2720 7.1203
angles: 90.49 90.49 120.73
Atoms (fractional coordinates):
K (0.0000, 0.0000, 0.0000)
Ag (0.6650, 0.3350, 0.5000)
Se (0.3324, 0.6676, 0.5000)
Br (0.0245, 0.3864, 0.2807)
Br (0.0238, 0.6424, 0.7108)
Br (0.3512, 0.3855, 0.7097)
Br (0.3576, 0.9762, 0.2892)
Br (0.6145, 0.6488, 0.2903)
Br (0.6136, 0.9755, 0.7193)

Calculated values
DFT total energy, eV per atom: -2.45
Spin magnetization, μB per formula unit: 0.00
Formation energy from raw total energies, meV/atom: -512

---

# 3
TaIn2Mo: relaxed, PBE.

abc: 3.5445 4.6249 4.6476
angles: 90.00 90.00 90.00
Atoms (fractional coordinates):
Ta (0.0000, 0.0000, 0.0000)
In (0.0000, 0.5000, 0.5000)
In (0.5000, 0.0000, 0.5000)
Mo (0.5000, 0.5000, 0.0000)

Calculated values
DFT total energy, eV per atom: -6.72
Spin magnetization, μB per formula unit: 0.00
E above lowest polymorph, meV per atom: 128.1

---

# 4
SmDyBi: relaxed, PBE.

abc: 4.5886 4.5886 8.7820
angles: 90.02 90.02 90.00
Atoms (fractional coordinates):
Sm (0.2496, 0.2496, 0.1509)
Sm (0.7504, 0.7504, 0.8491)
Dy (0.2500, 0.7500, 0.5000)
Dy (0.7500, 0.2500, 0.5000)
Bi (0.2504, 0.2504, 0.7779)
Bi (0.7496, 0.7496, 0.2221)

Calculated values
DFT total energy, eV per atom: -5.04
Spin magnetization, μB per formula unit: 0.00

---

# 5
Sr2ZrTlBr: relaxed, PBE.

abc: 5.7550 5.7550 5.9389
angles: 90.00 90.00 90.00
Atoms (fractional coordinates):
Sr (0.0000, 0.5000, 0.0000)
Sr (0.5000, 0.0000, 0.0000)
Zr (0.0000, 0.0000, 0.5000)
Tl (0.5000, 0.5000, 0.5000)
Br (0.5000, 0.5000, 0.0000)

Calculated values
DFT total energy, eV per atom: -3.04
Spin magnetization, μB per formula unit: 2.29
Formation energy from raw total energies, meV/atom: 154

---

# 6
CaPrSm6: relaxed, PBE.

abc: 5.1915 5.1915 10.3179
angles: 90.00 90.00 90.00
Atoms (fractional coordinates):
Ca (0.0000, 0.0000, 0.0000)
Pr (0.0000, 0.0000, 0.5000)
Sm (0.0000, 0.5000, 0.2554)
Sm (0.0000, 0.5000, 0.7446)
Sm (0.5000, 0.0000, 0.2554)
Sm (0.5000, 0.0000, 0.7446)
Sm (0.5000, 0.5000, 0.0000)
Sm (0.5000, 0.5000, 0.5000)

Calculated values
DFT total energy, eV per atom: -4.33
Spin magnetization, μB per formula unit: 0.00
E above lowest polymorph, meV per atom: 4.6

---

# 7
NbCrMoIr: relaxed, PBE.

abc: 4.4373 4.4373 4.4373
angles: 60.00 60.00 60.00
Atoms (fractional coordinates):
Nb (0.0000, 0.0000, 0.0000)
Cr (0.5000, 0.5000, 0.5000)
Mo (0.2500, 0.2500, 0.2500)
Ir (0.7500, 0.7500, 0.7500)

Calculated values
DFT total energy, eV per atom: -9.95
Spin magnetization, μB per formula unit: 2.20

---

# 8
PmDy6Er12: relaxed, PBE.

abc: 9.2654 9.2654 9.2654
angles: 108.08 108.08 108.08
Atoms (fractional coordinates):
Pm (0.0000, 0.0000, 0.0000)
Dy (0.2588, 0.6831, 0.6831)
Dy (0.3169, 0.3169, 0.7412)
Dy (0.3169, 0.7412, 0.3169)
Dy (0.6831, 0.2588, 0.6831)
Dy (0.6831, 0.6831, 0.2588)
Dy (0.7412, 0.3169, 0.3169)
Er (0.1100, 0.5000, 0.8900)
Er (0.1100, 0.8900, 0.5000)
Er (0.1493, 0.3653, 0.3653)
Er (0.3653, 0.1493, 0.3653)
Er (0.3653, 0.3653, 0.1493)
Er (0.5000, 0.1100, 0.8900)
Er (0.5000, 0.8900, 0.1100)
Er (0.6347, 0.6347, 0.8507)
Er (0.6347, 0.8507, 0.6347)
Er (0.8507, 0.6347, 0.6347)
Er (0.8900, 0.1100, 0.5000)
Er (0.8900, 0.5000, 0.1100)

Calculated values
DFT total energy, eV per atom: -4.14
Spin magnetization, μB per formula unit: 0.01
E above lowest polymorph, meV per atom: 286.0